ThPt4Rh2 after structural relaxation, computed with PBE.

Computed properties:
The total energy comes out at -7.224 eV per atom. The size of the total moment comes out at 0.00 Bohr magnetons per cell. Its theoretical density is 16430 kg/m³.

abc: 5.3351 6.7855 6.8019
angles: 90.00 90.00 90.00
Space group Immm (No. 71)
Inequivalent atoms, fractional coordinates:
Th 0.0000 0.0000 0.0000 [2 per cell]
Pt 0.0000 0.2963 0.2966 [8 per cell]
Rh 0.2501 0.0000 0.5000 [4 per cell]